DFT (PBE) results for a relaxed structure of CaSi2Se.

Lattice parameters (Å, degrees): 6.345 6.345 6.345 100.70 100.70 128.94
Element x y z (fractional)
Ca 0.000 0.000 0.000
Ca 0.750 0.250 0.500
Si 0.157 0.625 0.032
Si 0.375 0.407 0.532
Si 0.593 0.125 0.968
Si 0.875 0.843 0.468
Se 0.250 0.750 0.500
Se 0.500 0.500 0.000

Calculated values
Space-group type: I-42d (122)
Total energy: -4.089 eV/atom

DFT (PBE) results for a relaxed structure of TlSiSe2.

Lattice parameters (Å, degrees): 6.150 6.150 6.150 147.81 120.50 69.27
Element x y z (fractional)
Tl 0.000 0.000 0.000
Si 0.500 0.500 0.000
Se 0.333 0.833 0.500
Se 0.667 0.167 0.500

Calculated values
Space-group type: Immm (71)
Total energy: -3.791 eV/atom

DFT (PBE) results for a relaxed structure of PaNbGe2.

Lattice parameters (Å, degrees): 3.515 3.515 6.246 90.00 90.00 90.00
Element x y z (fractional)
Pa 0.000 0.000 0.000
Nb 0.000 0.000 0.500
Ge 0.500 0.500 0.288
Ge 0.500 0.500 0.712

Calculated values
E_form: -0.323 eV/atom
Offset from the most stable computed form: 0.0156 eV per atom
Space-group type: P4/mmm (123)

DFT (PBE) results for a relaxed structure of InSi4Mo.

Lattice parameters (Å, degrees): 5.085 5.085 5.085 60.00 60.00 60.00
Element x y z (fractional)
In 0.000 0.000 0.000
Si 0.128 0.624 0.624
Si 0.624 0.128 0.624
Si 0.624 0.624 0.128
Si 0.624 0.624 0.624
Mo 0.250 0.250 0.250

Calculated values
Space-group type: F-43m (216)
Total energy: -5.383 eV/atom

DFT (PBE) results for a relaxed structure of Sm2PuRhN4.

Lattice parameters (Å, degrees): 6.086 6.086 11.882 90.00 90.00 147.71
Element x y z (fractional)
Sm 0.130 0.870 0.550
Sm 0.130 0.870 0.950
Sm 0.870 0.130 0.050
Sm 0.870 0.130 0.450
Pu 0.385 0.615 0.750
Pu 0.615 0.385 0.250
Rh 0.353 0.647 0.250
Rh 0.647 0.353 0.750
N 0.034 0.966 0.750
N 0.217 0.783 0.137
N 0.217 0.783 0.363
N 0.500 0.500 0.000
N 0.500 0.500 0.500
N 0.783 0.217 0.637
N 0.783 0.217 0.863
N 0.966 0.034 0.250

Calculated values
Space-group type: Cmcm (63)
Total energy: -8.883 eV/atom

DFT (PBE) results for a relaxed structure of Ba3NpPa2N6.

Lattice parameters (Å, degrees): 6.293 6.293 6.749 98.93 98.93 120.01
Element x y z (fractional)
Ba 0.000 0.000 0.000
Ba 0.334 0.666 0.000
Ba 0.666 0.334 0.000
Np 0.500 0.500 0.500
Pa 0.167 0.833 0.500
Pa 0.833 0.167 0.500
N 0.112 0.445 0.334
N 0.223 0.223 0.666
N 0.445 0.112 0.334
N 0.555 0.888 0.666
N 0.777 0.777 0.334
N 0.888 0.555 0.666

Calculated values
Space-group type: C2/m (12)
Total energy: -8.455 eV/atom

DFT (PBE) results for a relaxed structure of Rb2UGeSe5.

Lattice parameters (Å, degrees): 10.175 10.175 14.506 90.00 90.00 155.17
Element x y z (fractional)
Rb 0.123 0.877 0.500
Rb 0.123 0.877 0.855
Rb 0.877 0.123 0.000
Rb 0.877 0.123 0.355
U 0.199 0.801 0.198
U 0.801 0.199 0.698
Ge 0.438 0.562 0.597
Ge 0.562 0.438 0.097
Se 0.052 0.948 0.186
Se 0.305 0.695 0.819
Se 0.313 0.687 0.566
Se 0.329 0.671 0.178
Se 0.492 0.508 0.455
Se 0.508 0.492 0.955
Se 0.671 0.329 0.678
Se 0.687 0.313 0.066
Se 0.695 0.305 0.319
Se 0.948 0.052 0.686

Calculated values
Space-group type: Cmc2_1 (36)
Total energy: -4.858 eV/atom

DFT (PBE) results for a relaxed structure of ReTcHg2.

Lattice parameters (Å, degrees): 5.248 5.248 2.834 90.00 90.00 114.82
Element x y z (fractional)
Re 0.000 0.000 0.000
Tc 0.500 0.500 0.000
Hg 0.000 0.500 0.500
Hg 0.500 0.000 0.500

Calculated values
E_form: 0.986 eV/atom
Offset from the most stable computed form: 0.6684 eV per atom
Space-group type: Cmmm (65)

DFT (PBE) results for a relaxed structure of NaTl3Ge.

Lattice parameters (Å, degrees): 5.679 5.679 5.679 90.00 90.00 90.00
Element x y z (fractional)
Na 0.000 0.000 0.000
Tl 0.000 0.500 0.500
Tl 0.500 0.000 0.500
Tl 0.500 0.500 0.000
Ge 0.500 0.500 0.500

Calculated values
E_form: 0.198 eV/atom
Offset from the most stable computed form: 0.0000 eV per atom
Space-group type: Pm-3m (221)

DFT (PBE) results for a relaxed structure of Ta2ZnGe2.

Lattice parameters (Å, degrees): 6.919 6.919 3.518 90.00 90.00 90.00
Element x y z (fractional)
Ta 0.151 0.349 0.000
Ta 0.349 0.849 0.000
Ta 0.651 0.151 0.000
Ta 0.849 0.651 0.000
Zn 0.000 0.000 0.500
Zn 0.500 0.500 0.500
Ge 0.145 0.645 0.500
Ge 0.355 0.145 0.500
Ge 0.645 0.855 0.500
Ge 0.855 0.355 0.500

Calculated values
E_form: 0.046 eV/atom
Offset from the most stable computed form: 0.0285 eV per atom
Space-group type: P4/mbm (127)

DFT (PBE) results for a relaxed structure of La2ZnIr2.

Lattice parameters (Å, degrees): 5.578 5.578 5.578 119.13 119.13 91.51
Element x y z (fractional)
La 0.250 0.750 0.500
La 0.750 0.250 0.500
Zn 0.000 0.000 0.000
Ir 0.326 0.326 0.000
Ir 0.674 0.674 0.000

Calculated values
E_form: -0.466 eV/atom
Space-group type: I4/mmm (139)

DFT (PBE) results for a relaxed structure of Th2P2Ru5.

Lattice parameters (Å, degrees): 4.182 4.182 8.818 90.00 90.00 90.00
Element x y z (fractional)
Th 0.000 0.000 0.000
Th 0.000 0.000 0.500
P 0.500 0.500 0.147
P 0.500 0.500 0.853
Ru 0.000 0.500 0.260
Ru 0.000 0.500 0.740
Ru 0.500 0.000 0.260
Ru 0.500 0.000 0.740
Ru 0.500 0.500 0.500

Calculated values
E_form: -0.710 eV/atom
Space-group type: P4/mmm (123)